Entry 1:
Compound: SmSiGe
Source: OQMD
Functional: PBE
Structure: relaxed

Calculated total energy (eV per atom): -4.838
ΔE to the lowest computed polymorph (eV/f.u.): 0.56
Calculated volume (Å³/cell): 78.0

a b c (Å): 4.7962 4.7962 4.7962
angles (deg): 60.00 60.00 60.00
Fractional coordinates of all 3 atoms:
1 Sm 0.0000 0.0000 0.0000
2 Si 0.2500 0.2500 0.2500
3 Ge 0.7500 0.7500 0.7500



Entry 2:
Compound: Sr2Zn2SiGe
Source: OQMD
Functional: PBE
Structure: relaxed

Calculated total energy (eV per atom): -3.145
Calculated volume (Å³/cell): 147.4

a b c (Å): 4.3411 4.3411 9.0315
angles (deg): 90.00 90.00 120.00
Fractional coordinates of all 6 atoms:
1 Sr 0.0000 0.0000 0.2494
2 Sr 0.0000 0.0000 0.7506
3 Zn 0.3333 0.6667 0.5000
4 Zn 0.6667 0.3333 0.0000
5 Si 0.3333 0.6667 0.0000
6 Ge 0.6667 0.3333 0.5000



Entry 3:
Compound: SrZn2SiGe
Source: OQMD
Functional: PBE
Structure: relaxed

Calculated total energy (eV per atom): -3.187
Calculated volume (Å³/cell): 100.5

a b c (Å): 6.0598 6.0598 6.0598
angles (deg): 137.47 137.47 61.71
Fractional coordinates of all 5 atoms:
1 Sr 0.0000 0.0000 0.0000
2 Zn 0.2525 0.7525 0.5000
3 Zn 0.7525 0.2525 0.5000
4 Si 0.3781 0.3781 0.0000
5 Ge 0.6156 0.6156 0.0000